Here is RbAs5W3 after structural relaxation from OQMD via LeMat-Bulk. Energies are from GGA-PBE.

Cell lengths 5.4653, 5.4653, 8.4259 Å; angles 90.00, 90.00, 120.00 degrees
Closest atoms and distances in Å follow each position.
Space group P6/mmm (No. 191)
Unique sites:
Rb  0.0000  0.0000  0.0000 x1  14 As 3.79-4.21
As  0.0000  0.0000  0.5000 x1  6 W 2.73
As  0.3333  0.6667  0.2484 x4  3 W 2.64
W  0.0000  0.5000  0.5000 x3  6 As 2.64-2.73, 4 W 2.73

The magnetization comes out at 0.00 μB/cell. Its total energy is -6.98 eV per atom.